No. 1
# PBE-GGA CdFeH6Ir2, optimized geometry
data_CdFeH6Ir2
_chemical_formula_sum 'Cd2 Fe2 H12 Ir4'
_space_group_name_H-M_alt 'P 1'
_space_group_IT_number 1
_cell_length_a 5.7312
_cell_length_b 5.7312
_cell_length_c 5.4771
_cell_angle_alpha 99.42
_cell_angle_beta 99.42
_cell_angle_gamma 98.82
loop_
_space_group_symop_operation_xyz
'x,y,z'
loop_
_atom_site_label
_atom_site_fract_x
_atom_site_fract_y
_atom_site_fract_z
H1 0.2090 0.2514 0.0866
H2 0.2514 0.2090 0.5866
H3 0.1011 0.5500 0.8603
H4 0.4779 0.6590 0.1010
H5 0.3410 0.5221 0.3990
H6 0.5500 0.1011 0.3603
H7 0.7910 0.7486 0.9134
H8 0.6590 0.4779 0.6010
H9 0.5221 0.3410 0.8990
H10 0.7486 0.7910 0.4134
H11 0.8989 0.4500 0.1397
H12 0.4500 0.8989 0.6397
Cd1 0.8445 0.1555 0.7500
Cd2 0.1555 0.8445 0.2500
Ir1 0.6673 0.9290 0.1631
Ir2 0.0710 0.3327 0.3369
Ir3 0.9290 0.6673 0.6631
Ir4 0.3327 0.0710 0.8369
Fe1 0.4022 0.5978 0.7500
Fe2 0.5978 0.4022 0.2500
# Total DFT energy (no corrections) (eV per atom): -4.58
# DOS at the Fermi energy (states/eV/cell): 7.15
# Symmetry: C2/c, No. 15

***

No. 2
# PBE-GGA B2Pb2S5, optimized geometry
data_B2Pb2S5
_chemical_formula_sum 'B16 Pb16 S40'
_space_group_name_H-M_alt 'P 1'
_space_group_IT_number 1
_cell_length_a 9.7644
_cell_length_b 9.7644
_cell_length_c 15.8176
_cell_angle_alpha 90.00
_cell_angle_beta 90.00
_cell_angle_gamma 90.00
loop_
_space_group_symop_operation_xyz
'x,y,z'
loop_
_atom_site_label
_atom_site_fract_x
_atom_site_fract_y
_atom_site_fract_z
S1 0.0696 0.3810 0.8572
S2 0.4304 0.8810 0.3928
S3 0.2683 0.7317 0.2500
S4 0.2474 0.4315 0.6121
S5 0.4357 0.5615 0.1107
S6 0.7317 0.2683 0.7500
S7 0.9032 0.2308 0.9993
S8 0.5968 0.7308 0.2507
S9 0.4385 0.5643 0.3893
S10 0.7692 0.0968 0.5007
S11 0.6190 0.9304 0.6428
S12 0.7683 0.7683 0.5000
S13 0.3994 0.6006 0.7500
S14 0.6006 0.3994 0.2500
S15 0.9357 0.9385 0.6393
S16 0.5685 0.7526 0.8879
S17 0.9385 0.9357 0.3607
S18 0.0615 0.0643 0.8607
S19 0.2526 0.9315 0.6379
S20 0.2317 0.2317 0.0000
S21 0.0685 0.7474 0.8621
S22 0.9315 0.2526 0.3621
S23 0.1190 0.5696 0.1072
S24 0.2692 0.4032 0.2493
S25 0.3810 0.0696 0.1428
S26 0.8810 0.4304 0.6072
S27 0.1006 0.1006 0.5000
S28 0.9304 0.6190 0.3572
S29 0.4032 0.2692 0.7507
S30 0.5696 0.1190 0.8928
S31 0.5643 0.4385 0.6107
S32 0.0643 0.0615 0.1393
S33 0.0968 0.7692 0.4993
S34 0.4315 0.2474 0.3879
S35 0.2308 0.9032 0.0007
S36 0.8994 0.8994 0.0000
S37 0.7474 0.0685 0.1379
S38 0.5615 0.4357 0.8893
S39 0.7308 0.5968 0.7493
S40 0.7526 0.5685 0.1121
B1 0.9295 0.7749 0.4321
B2 0.5705 0.2749 0.8179
B3 0.2251 0.0705 0.0679
B4 0.0644 0.9042 0.9344
B5 0.2749 0.5705 0.1821
B6 0.9356 0.0958 0.4344
B7 0.4295 0.7251 0.3179
B8 0.7749 0.9295 0.5679
B9 0.5958 0.5644 0.1844
B10 0.9042 0.0644 0.0656
B11 0.0705 0.2251 0.9321
B12 0.4356 0.4042 0.3156
B13 0.7251 0.4295 0.6821
B14 0.0958 0.9356 0.5656
B15 0.5644 0.5958 0.8156
B16 0.4042 0.4356 0.6844
Pb1 0.8481 0.5486 0.9123
Pb2 0.9514 0.3481 0.1623
Pb3 0.2374 0.0560 0.3188
Pb4 0.7374 0.4440 0.4312
Pb5 0.0486 0.6519 0.6623
Pb6 0.3481 0.9514 0.8377
Pb7 0.2626 0.5560 0.9312
Pb8 0.6519 0.0486 0.3377
Pb9 0.4514 0.1519 0.5877
Pb10 0.5486 0.8481 0.0877
Pb11 0.9440 0.7626 0.1812
Pb12 0.5560 0.2626 0.0688
Pb13 0.1519 0.4514 0.4123
Pb14 0.0560 0.2374 0.6812
Pb15 0.4440 0.7374 0.5688
Pb16 0.7626 0.9440 0.8188
# DOS at the Fermi energy (states/eV/cell): 0.00
# Energy above the lowest structure with this stoichiometry (eV per formula unit): 0.000
# Energy relative to the elements, uncorrected (meV/atom): -496.6
# Symmetry: P4_12_12, No. 92

***

No. 3
# PBE-GGA Ce4Ge3Se, optimized geometry
data_Ce4Ge3Se
_chemical_formula_sum 'Ce4 Ge3 Se1'
_space_group_name_H-M_alt 'P 1'
_space_group_IT_number 1
_cell_length_a 4.2348
_cell_length_b 7.3242
_cell_length_c 7.3242
_cell_angle_alpha 70.52
_cell_angle_beta 90.01
_cell_angle_gamma 90.01
loop_
_space_group_symop_operation_xyz
'x,y,z'
loop_
_atom_site_label
_atom_site_fract_x
_atom_site_fract_y
_atom_site_fract_z
Ce1 0.0000 0.7526 0.7475
Ce2 0.0000 0.2476 0.2524
Ce3 0.4999 0.7510 0.2509
Ce4 0.5000 0.2492 0.7491
Ge1 0.0000 0.5001 0.5000
Ge2 0.5000 0.0001 0.5000
Ge3 0.9999 0.0001 0.0000
Se1 0.5000 0.5001 0.9999
# DOS at the Fermi energy (states/eV/cell): 14.52
# Energy relative to the elements, uncorrected (meV/atom): -985.0
# Symmetry: Cmmm, No. 65

***

No. 4
# PBE-GGA Cd2TcSe, optimized geometry
data_Cd2TcSe
_chemical_formula_sum 'Cd2 Tc1 Se1'
_space_group_name_H-M_alt 'P 1'
_space_group_IT_number 1
_cell_length_a 6.5800
_cell_length_b 6.5800
_cell_length_c 6.5800
_cell_angle_alpha 152.78
_cell_angle_beta 137.46
_cell_angle_gamma 51.24
loop_
_space_group_symop_operation_xyz
'x,y,z'
loop_
_atom_site_label
_atom_site_fract_x
_atom_site_fract_y
_atom_site_fract_z
Se1 0.5716 0.5716 0.0000
Cd1 0.9342 0.9342 0.0000
Cd2 0.2650 0.7650 0.5000
Tc1 0.7292 0.2292 0.5000
# DOS at the Fermi energy (states/eV/cell): 2.33
# Energy relative to the elements, uncorrected (meV/atom): 89.7
# Symmetry: Imm2, No. 44

***

No. 5
# PBE-GGA K3NaHg3, optimized geometry
data_K3NaHg3
_chemical_formula_sum 'K6 Na2 Hg6'
_space_group_name_H-M_alt 'P 1'
_space_group_IT_number 1
_cell_length_a 4.9972
_cell_length_b 6.8228
_cell_length_c 17.1400
_cell_angle_alpha 90.00
_cell_angle_beta 90.00
_cell_angle_gamma 111.48
loop_
_space_group_symop_operation_xyz
'x,y,z'
loop_
_atom_site_label
_atom_site_fract_x
_atom_site_fract_y
_atom_site_fract_z
Na1 0.5000 0.0000 0.5000
Na2 0.5000 0.0000 0.0000
K1 0.7995 0.5990 0.3951
K2 0.2005 0.4010 0.8951
K3 0.5120 0.0241 0.2500
K4 0.7995 0.5990 0.1049
K5 0.4880 0.9759 0.7500
K6 0.2005 0.4010 0.6049
Hg1 0.0927 0.1854 0.0969
Hg2 0.0927 0.1854 0.4031
Hg3 0.2186 0.4372 0.2500
Hg4 0.7814 0.5628 0.7500
Hg5 0.9073 0.8146 0.9031
Hg6 0.9073 0.8146 0.5969
# DOS at the Fermi energy (states/eV/cell): 7.06
# Energy above the lowest structure with this stoichiometry (eV per formula unit): 0.000
# Energy of formation (meV per atom): -220
# Symmetry: Cmcm, No. 63

***

No. 6
# PBE-GGA VNi2HIr, optimized geometry
data_VNi2HIr
_chemical_formula_sum 'V1 Ni2 H1 Ir1'
_space_group_name_H-M_alt 'P 1'
_space_group_IT_number 1
_cell_length_a 3.6224
_cell_length_b 3.6224
_cell_length_c 3.9008
_cell_angle_alpha 90.00
_cell_angle_beta 90.00
_cell_angle_gamma 90.00
loop_
_space_group_symop_operation_xyz
'x,y,z'
loop_
_atom_site_label
_atom_site_fract_x
_atom_site_fract_y
_atom_site_fract_z
V1 0.0000 0.0000 0.5000
Ni1 0.0000 0.5000 0.0000
Ni2 0.5000 0.0000 0.0000
H1 0.0000 0.0000 0.0000
Ir1 0.5000 0.5000 0.5000
# DOS at the Fermi energy (states/eV/cell): 3.95
# Energy above the lowest structure with this stoichiometry (eV per formula unit): 0.000
# Symmetry: P4/mmm, No. 123

***

No. 7
# PBE-GGA NdAl6Ni, optimized geometry
data_NdAl6Ni
_chemical_formula_sum 'Nd1 Al6 Ni1'
_space_group_name_H-M_alt 'P 1'
_space_group_IT_number 1
_cell_length_a 6.2875
_cell_length_b 6.2875
_cell_length_c 5.8828
_cell_angle_alpha 57.70
_cell_angle_beta 57.70
_cell_angle_gamma 60.00
loop_
_space_group_symop_operation_xyz
'x,y,z'
loop_
_atom_site_label
_atom_site_fract_x
_atom_site_fract_y
_atom_site_fract_z
Al1 0.5438 0.1201 0.2160
Al2 0.1201 0.5438 0.2160
Al3 0.1201 0.1201 0.2160
Al4 0.8799 0.8799 0.7840
Al5 0.8799 0.4562 0.7840
Al6 0.4562 0.8799 0.7840
Ni1 0.0000 0.0000 0.0000
Nd1 0.5000 0.5000 0.5000
# DOS at the Fermi energy (states/eV/cell): 4.34
# Energy of formation (meV per atom): -165
# Symmetry: R-3m, No. 166

***

No. 8
# PBE-GGA BaHg3S4, optimized geometry
data_BaHg3S4
_chemical_formula_sum 'Ba1 Hg3 S4'
_space_group_name_H-M_alt 'P 1'
_space_group_IT_number 1
_cell_length_a 4.4652
_cell_length_b 8.0640
_cell_length_c 9.0993
_cell_angle_alpha 124.82
_cell_angle_beta 90.00
_cell_angle_gamma 90.00
loop_
_space_group_symop_operation_xyz
'x,y,z'
loop_
_atom_site_label
_atom_site_fract_x
_atom_site_fract_y
_atom_site_fract_z
Hg1 0.0000 0.2676 0.5224
Hg2 0.0000 0.7324 0.4776
Hg3 0.0000 0.5000 0.0000
S1 0.0000 0.5975 0.7976
S2 0.0000 0.0361 0.7606
S3 0.0000 0.4025 0.2024
S4 0.0000 0.9639 0.2394
Ba1 0.5000 0.0000 0.0000
# DOS at the Fermi energy (states/eV/cell): 0.00
# Energy relative to the elements, uncorrected (meV/atom): -584.1
# Symmetry: P2/m, No. 10

***

No. 9
# PBE-GGA Pr6CuSn2, optimized geometry
data_Pr6CuSn2
_chemical_formula_sum 'Pr6 Cu1 Sn2'
_space_group_name_H-M_alt 'P 1'
_space_group_IT_number 1
_cell_length_a 4.4200
_cell_length_b 8.5076
_cell_length_c 8.5075
_cell_angle_alpha 120.00
_cell_angle_beta 90.00
_cell_angle_gamma 90.00
loop_
_space_group_symop_operation_xyz
'x,y,z'
loop_
_atom_site_label
_atom_site_fract_x
_atom_site_fract_y
_atom_site_fract_z
Pr1 0.0000 0.0000 0.2404
Pr2 0.5000 0.5808 0.0000
Pr3 0.5000 0.0000 0.5809
Pr4 0.5000 0.4192 0.4191
Pr5 0.0000 0.7596 0.7596
Pr6 0.0000 0.2405 0.0000
Sn1 0.0000 0.6667 0.3334
Sn2 0.0000 0.3334 0.6666
Cu1 0.5000 0.9999 0.0000
# DOS at the Fermi energy (states/eV/cell): 11.89
# Energy of formation (meV per atom): -400
# Symmetry: P-62m, No. 189

***

No. 10
# PBE-GGA LaCePr2Rh2, optimized geometry
data_LaCePr2Rh2
_chemical_formula_sum 'La2 Ce2 Pr4 Rh4'
_space_group_name_H-M_alt 'P 1'
_space_group_IT_number 1
_cell_length_a 7.0505
_cell_length_b 7.2587
_cell_length_c 8.4098
_cell_angle_alpha 115.57
_cell_angle_beta 114.78
_cell_angle_gamma 90.00
loop_
_space_group_symop_operation_xyz
'x,y,z'
loop_
_atom_site_label
_atom_site_fract_x
_atom_site_fract_y
_atom_site_fract_z
Ce1 0.7500 0.5000 0.0000
Ce2 0.2500 0.5000 0.0000
Rh1 0.4033 0.6256 0.8066
Rh2 0.9033 0.1810 0.8066
Rh3 0.5967 0.3744 0.1934
Rh4 0.0967 0.8190 0.1934
Pr1 0.6967 0.8927 0.3935
Pr2 0.3033 0.1073 0.6065
Pr3 0.1967 0.5007 0.3935
Pr4 0.8033 0.4993 0.6065
La1 0.7500 0.0000 0.0000
La2 0.2500 0.0000 0.0000
# DOS at the Fermi energy (states/eV/cell): 15.80
# Energy of formation (meV per atom): -447
# Symmetry: Ibam, No. 72

***

No. 11
# PBE-GGA TlAg3F, optimized geometry
data_TlAg3F
_chemical_formula_sum 'Tl1 Ag3 F1'
_space_group_name_H-M_alt 'P 1'
_space_group_IT_number 1
_cell_length_a 4.7159
_cell_length_b 4.7159
_cell_length_c 4.7159
_cell_angle_alpha 90.00
_cell_angle_beta 90.00
_cell_angle_gamma 90.00
loop_
_space_group_symop_operation_xyz
'x,y,z'
loop_
_atom_site_label
_atom_site_fract_x
_atom_site_fract_y
_atom_site_fract_z
Ag1 0.0000 0.0000 0.5000
Ag2 0.0000 0.5000 0.0000
Ag3 0.5000 0.0000 0.0000
Tl1 0.5000 0.5000 0.5000
F1 0.0000 0.0000 0.0000
# DOS at the Fermi energy (states/eV/cell): 2.02
# Energy above the lowest structure with this stoichiometry (eV per formula unit): 0.000
# Energy relative to the elements, uncorrected (meV/atom): -111.5
# Symmetry: Pm-3m, No. 221

***

No. 12
# PBE-GGA Li2In2Te, optimized geometry
data_Li2In2Te
_chemical_formula_sum 'Li2 In2 Te1'
_space_group_name_H-M_alt 'P 1'
_space_group_IT_number 1
_cell_length_a 4.2922
_cell_length_b 4.2922
_cell_length_c 7.4896
_cell_angle_alpha 73.35
_cell_angle_beta 73.35
_cell_angle_gamma 90.00
loop_
_space_group_symop_operation_xyz
'x,y,z'
loop_
_atom_site_label
_atom_site_fract_x
_atom_site_fract_y
_atom_site_fract_z
In1 0.3972 0.3972 0.2057
In2 0.6028 0.6028 0.7943
Li1 0.2500 0.7500 0.5000
Li2 0.7500 0.2500 0.5000
Te1 0.0000 0.0000 0.0000
# DOS at the Fermi energy (states/eV/cell): 1.99
# Energy above the lowest structure with this stoichiometry (eV per formula unit): 0.887
# Energy relative to the elements, uncorrected (meV/atom): -126.5
# Symmetry: I4/mmm, No. 139

***

Question: Which value of DOS at the Fermi energy does entry 5 give?
Answer: 7.06 states/eV/cell

***

Question: Look up the DOS at the Fermi energy of the fourth one.
Answer: 2.33 states/eV/cell